1.
Below is Pm8Er2Cd after structural relaxation, with properties calculated at the PBE level.

abc: 6.2228 6.2228 12.7101
angles: 103.00 103.00 48.18
With the nearest neighbours (Å) after each atom.
Fractional coordinates of all 11 atoms:
Pm (0.0370, 0.0370, 0.3221)  2 Cd 3.49, 7 Pm 3.54-3.65, 3 Er 3.56-3.58
Pm (0.1405, 0.1405, 0.9530)  9 Pm 3.54-3.67, 3 Er 3.63-3.67
Pm (0.2441, 0.2441, 0.5880)  3 Cd 3.36-3.72, 7 Pm 3.41-3.65, 2 Er 3.55
Pm (0.4093, 0.4093, 0.8597)  9 Pm 3.50-3.65, 3 Er 3.59-3.64
Pm (0.5907, 0.5907, 0.1403)  9 Pm 3.50-3.65, 3 Er 3.59-3.64
Pm (0.7559, 0.7559, 0.4120)  3 Cd 3.36-3.72, 7 Pm 3.41-3.65, 2 Er 3.55
Pm (0.8595, 0.8595, 0.0470)  9 Pm 3.54-3.67, 3 Er 3.63-3.67
Pm (0.9630, 0.9630, 0.6779)  2 Cd 3.49, 7 Pm 3.54-3.65, 3 Er 3.56-3.58
Er (0.3147, 0.3147, 0.2372)  1 Cd 3.48, 11 Pm 3.55-3.67
Er (0.6853, 0.6853, 0.7628)  1 Cd 3.48, 11 Pm 3.55-3.67
Cd (0.5000, 0.5000, 0.5000)  10 Pm 3.36-3.72, 2 Er 3.48

Calculated values
space group = C2/m (12)
ΔE to the lowest computed polymorph = 5 meV/atom
energy of formation = -0.0143 eV/atom

2.
Below is K2Ba2Cd after structural relaxation, with properties calculated at the PBE level.

abc: 4.3439 4.3439 29.5647
angles: 90.00 90.00 90.00
With the nearest neighbours (Å) after each atom.
Fractional coordinates of all 10 atoms:
K (0.0000, 0.0000, 0.1889)  8 K 4.34-4.74, 4 Ba 4.72
K (0.0000, 0.0000, 0.8111)  8 K 4.34-4.74, 4 Ba 4.72
K (0.5000, 0.5000, 0.3111)  8 K 4.34-4.74, 4 Ba 4.72
K (0.5000, 0.5000, 0.6889)  8 K 4.34-4.74, 4 Ba 4.72
Ba (0.0000, 0.0000, 0.4324)  4 Cd 3.66, 1 Ba 4.00
Ba (0.0000, 0.0000, 0.5676)  4 Cd 3.66, 1 Ba 4.00
Ba (0.5000, 0.5000, 0.0676)  4 Cd 3.66, 1 Ba 4.00
Ba (0.5000, 0.5000, 0.9324)  4 Cd 3.66, 1 Ba 4.00
Cd (0.0000, 0.0000, 0.0000)  8 Ba 3.66
Cd (0.5000, 0.5000, 0.5000)  8 Ba 3.66

Calculated values
space group = I4/mmm (139)
ΔE to the lowest computed polymorph = 0 meV/atom
energy of formation = -0.1273 eV/atom

3.
Below is Ce6PuTl2 after structural relaxation, with properties calculated at the PBE level.

abc: 7.0896 7.0896 7.0896
angles: 119.96 119.96 90.07
With the nearest neighbours (Å) after each atom.
Fractional coordinates of all 9 atoms:
Ce (0.2445, 0.2445, 0.0000)  1 Pu 2.45
Ce (0.2443, 0.2443, 0.4885)  1 Pu 2.45
Ce (0.2443, 0.7557, 0.0000)  1 Pu 2.45
Ce (0.7557, 0.2443, 0.0000)  1 Pu 2.45
Ce (0.7555, 0.7555, 0.0000)  1 Pu 2.45
Ce (0.7557, 0.7557, 0.5115)  1 Pu 2.45
Pu (0.0000, 0.0000, 0.0000)  6 Ce 2.45
Tl (0.2500, 0.7500, 0.5000)  12 Ce 3.55
Tl (0.7500, 0.2500, 0.5000)  12 Ce 3.55

Calculated values
space group = I4/mmm (139)
energy of formation = -0.2986 eV/atom

4.
Below is LiPrZr after structural relaxation, with properties calculated at the PBE level.

abc: 3.8621 3.8621 11.0061
angles: 90.00 90.00 90.00
With the nearest neighbours (Å) after each atom.
Fractional coordinates of all 6 atoms:
Li (0.2500, 0.2500, 0.0617)  4 Li 3.05
Li (0.7500, 0.7500, 0.9383)  4 Li 3.05
Pr (0.2500, 0.2500, 0.7435)  5 Zr 3.31-3.41, 5 Li 3.47-3.50
Pr (0.7500, 0.7500, 0.2565)  5 Zr 3.31-3.41, 5 Li 3.47-3.50
Zr (0.2500, 0.2500, 0.4425)  4 Zr 3.01, 1 Pr 3.31
Zr (0.7500, 0.7500, 0.5575)  4 Zr 3.01, 1 Pr 3.31

Calculated values
space group = P4/nmm (129)
ΔE to the lowest computed polymorph = 0 meV/atom
energy of formation = 0.0960 eV/atom

5.
Below is FeH12C2N2Cl4 after structural relaxation, with properties calculated at the PBE level.

abc: 7.1703 7.1703 19.8860
angles: 90.00 90.00 90.00
With the nearest neighbours (Å) after each atom.
Fractional coordinates of all 84 atoms:
Fe (0.0000, 0.0000, 0.0000)  6 Cl 2.44-2.57
Fe (0.0000, 0.5000, 0.5000)  6 Cl 2.44-2.57
Fe (0.5000, 0.0000, 0.5000)  6 Cl 2.44-2.57
Fe (0.5000, 0.5000, 0.0000)  6 Cl 2.44-2.57
H (0.0058, 0.1828, 0.3091)  1 C 1.09
H (0.0058, 0.3172, 0.8091)  1 C 1.09
H (0.0059, 0.6584, 0.8948)  1 N 1.04
H (0.0059, 0.8416, 0.3948)  1 N 1.04
H (0.0491, 0.0491, 0.7187)  1 C 1.09
H (0.0491, 0.4509, 0.2187)  1 C 1.09
H (0.0600, 0.0600, 0.4208)  1 N 1.04
H (0.0600, 0.4400, 0.9208)  1 N 1.04
H (0.1584, 0.5059, 0.1052)  1 N 1.04
H (0.1584, 0.9941, 0.6052)  1 N 1.04
H (0.1828, 0.0058, 0.3091)  1 C 1.09
H (0.1828, 0.4942, 0.8091)  1 C 1.09
H (0.3172, 0.0058, 0.8091)  1 C 1.09
H (0.3172, 0.4942, 0.3091)  1 C 1.09
H (0.3416, 0.5059, 0.6052)  1 N 1.04
H (0.3416, 0.9941, 0.1052)  1 N 1.04
H (0.4400, 0.0600, 0.9208)  1 N 1.04
H (0.4400, 0.4400, 0.4208)  1 N 1.04
H (0.4509, 0.0491, 0.2187)  1 C 1.09
H (0.4509, 0.4509, 0.7187)  1 C 1.09
H (0.4942, 0.1828, 0.8091)  1 C 1.09
H (0.4942, 0.3172, 0.3091)  1 C 1.09
H (0.4941, 0.6584, 0.3948)  1 N 1.04
H (0.4941, 0.8416, 0.8948)  1 N 1.04
H (0.5059, 0.1584, 0.1052)  1 N 1.04
H (0.5059, 0.3416, 0.6052)  1 N 1.04
H (0.5058, 0.6828, 0.6909)  1 C 1.09
H (0.5058, 0.8172, 0.1909)  1 C 1.09
H (0.5491, 0.5491, 0.2813)  1 C 1.09
H (0.5491, 0.9509, 0.7813)  1 C 1.09
H (0.5600, 0.5600, 0.5792)  1 N 1.04
H (0.5600, 0.9400, 0.0792)  1 N 1.04
H (0.6584, 0.0059, 0.8948)  1 N 1.04
H (0.6584, 0.4941, 0.3948)  1 N 1.04
H (0.6828, 0.5058, 0.6909)  1 C 1.09
H (0.6828, 0.9942, 0.1909)  1 C 1.09
H (0.8172, 0.5058, 0.1909)  1 C 1.09
H (0.8172, 0.9942, 0.6909)  1 C 1.09
H (0.8416, 0.0059, 0.3948)  1 N 1.04
H (0.8416, 0.4941, 0.8948)  1 N 1.04
H (0.9400, 0.5600, 0.0792)  1 N 1.04
H (0.9400, 0.9400, 0.5792)  1 N 1.04
H (0.9509, 0.5491, 0.7813)  1 C 1.09
H (0.9509, 0.9509, 0.2813)  1 C 1.09
H (0.9941, 0.1584, 0.6052)  1 N 1.04
H (0.9941, 0.3416, 0.1052)  1 N 1.04
H (0.9942, 0.6828, 0.1909)  1 C 1.09
H (0.9942, 0.8172, 0.6909)  1 C 1.09
C (0.0341, 0.0341, 0.3163)  3 H 1.09
C (0.0341, 0.4659, 0.8163)  3 H 1.09
C (0.4659, 0.0341, 0.8163)  3 H 1.09
C (0.4659, 0.4659, 0.3163)  3 H 1.09
C (0.5341, 0.5341, 0.6837)  3 H 1.09
C (0.5341, 0.9659, 0.1837)  3 H 1.09
C (0.9659, 0.5341, 0.1837)  3 H 1.09
C (0.9659, 0.9659, 0.6837)  3 H 1.09
N (0.0170, 0.0170, 0.6138)  3 H 1.04
N (0.0170, 0.4830, 0.1138)  3 H 1.04
N (0.4830, 0.0170, 0.1138)  3 H 1.04
N (0.4830, 0.4830, 0.6138)  3 H 1.04
N (0.5170, 0.5170, 0.3862)  3 H 1.04
N (0.5170, 0.9830, 0.8862)  3 H 1.04
N (0.9830, 0.5170, 0.8862)  3 H 1.04
N (0.9830, 0.9830, 0.3862)  3 H 1.04
Cl (0.0325, 0.0325, 0.1216)  2 H 2.26, 1 Fe 2.44
Cl (0.0325, 0.4675, 0.6216)  2 H 2.26, 1 Fe 2.44
Cl (0.2500, 0.2500, 0.4795)  2 H 2.25
Cl (0.2500, 0.2500, 0.9795)  2 H 2.25
Cl (0.2500, 0.7500, 0.0000)  2 Fe 2.54, 4 H 2.81
Cl (0.2500, 0.7500, 0.5000)  2 Fe 2.54, 4 H 2.81
Cl (0.4675, 0.0325, 0.6216)  2 H 2.26, 1 Fe 2.44
Cl (0.4675, 0.4675, 0.1216)  2 H 2.26, 1 Fe 2.44
Cl (0.5325, 0.5325, 0.8784)  2 H 2.26, 1 Fe 2.44
Cl (0.5325, 0.9675, 0.3784)  2 H 2.26, 1 Fe 2.44
Cl (0.7500, 0.2500, 0.0000)  2 Fe 2.54, 4 H 2.81
Cl (0.7500, 0.2500, 0.5000)  2 Fe 2.54, 4 H 2.81
Cl (0.7500, 0.7500, 0.0205)  2 H 2.25
Cl (0.7500, 0.7500, 0.5205)  2 H 2.25
Cl (0.9675, 0.5325, 0.3784)  2 H 2.26, 1 Fe 2.44
Cl (0.9675, 0.9675, 0.8784)  2 H 2.26, 1 Fe 2.44

Calculated values
space group = P4_2/ncm (138)

6.
Below is LaMg4Sc after structural relaxation, with properties calculated at the PBE level.

abc: 3.2866 6.5411 7.7521
angles: 78.04 77.80 75.53
With the nearest neighbours (Å) after each atom.
Fractional coordinates of all 6 atoms:
La (0.0000, 0.0000, 0.0000)  9 Mg 3.28-3.54, 2 La 3.29, 2 Sc 3.59-3.60
Mg (0.2489, 0.1306, 0.3701)  6 Mg 3.08-3.31, 2 Sc 3.38-3.39
Mg (0.2600, 0.4817, 0.0033)  6 Mg 3.01-3.29, 1 La 3.28, 2 Sc 3.31-3.32
Mg (0.5181, 0.3047, 0.6583)  6 Mg 2.97-3.29, 2 Sc 3.31
Mg (0.5304, 0.6211, 0.3218)  6 Mg 2.97-3.31, 2 Sc 3.29
Sc (0.7917, 0.7577, 0.6618)  9 Mg 3.29-3.46, 2 Sc 3.29, 2 La 3.59-3.60

Calculated values
space group = P1 (1)
ΔE to the lowest computed polymorph = 33 meV/atom
energy of formation = -0.0185 eV/atom

Listing total DFT energy (no corrections) for the structures above in their given order: -4.382 -1.518 -6.373 -4.984 -4.822 -2.958 eV/atom.